Entry from the Alexandria database: a geometry-optimized Dy5ErCd3 structure (GGA-PBE).

Values from the calculation:
The total energy comes out at -64.1 eV for the cell shown. The formation energy is -1.711 eV/f.u.

a b c (Å): 9.1623 9.1623 6.9105
angles (deg): 90.00 90.00 120.00
Space group P6_3/mcm (No. 193)
Asymmetric unit:
Dy (0.0000, 0.3327, 0.2500)
Dy (0.3333, 0.6667, 0.0000)
Er (0.0000, 0.0000, 0.0000)
Cd (0.0000, 0.3333, 0.7500)

Entry from the Alexandria database: a geometry-optimized NaBPtO5 structure (GGA-PBE).

Values from the calculation:
The total energy comes out at -192.0 eV for the cell shown.

a b c (Å): 6.374 8.450 7.027
angles (deg): 90.00 116.63 90.00
Space group C2/c (No. 15)
Asymmetric unit:
Na (0.000, 0.098, 0.250)
B (0.000, 0.448, 0.250)
Pt (0.250, 0.250, 0.000)
O (0.000, 0.158, 0.750)
O (0.013, 0.332, 0.091)
O (0.217, 0.462, 0.856)

Entry from the Alexandria database: a geometry-optimized NiIr2SeN structure (GGA-PBE).

Values from the calculation:
The total energy comes out at -30.5 eV for the cell shown.

a b c (Å): 3.859 3.859 5.281
angles (deg): 90.00 90.00 90.00
Space group P4/mmm (No. 123)
Asymmetric unit:
Ni (0.000, 0.000, 0.000)
Ir (0.000, 0.500, 0.500)
Se (0.500, 0.500, 0.000)
N (0.500, 0.500, 0.500)

Entry from the Alexandria database: a geometry-optimized Si2TcTe structure (GGA-PBE).

Values from the calculation:
The total energy comes out at -46.9 eV for the cell shown.

a b c (Å): 8.249 3.281 5.478
angles (deg): 90.00 98.90 90.00
Space group C2/m (No. 12)
Asymmetric unit:
Si (0.225, 0.000, 0.157)
Tc (0.000, 0.500, 0.000)
Te (0.000, 0.000, 0.500)